Entry 1:
# Zr3H3Pd

An optimized crystal structure of Zr3H3Pd (PBE, Alexandria).

Cell lengths 5.697, 5.697, 5.697 Å; angles 90.00, 90.00, 90.00 degrees
Space group Pm-3n (No. 223)
Inequivalent atoms, fractional coordinates:
Zr (0.000, 0.250, 0.500) [6 per cell]
H (0.000, 0.500, 0.250) [6 per cell]
Pd (0.000, 0.000, 0.000) [2 per cell]

Properties
The total energy comes out at -43.89 eV/f.u. For the spin magnetization, the calculation gives 0.000 μB/atom.

Entry 2:
# ScCuHgF6

An optimized crystal structure of ScCuHgF6 (PBE, Alexandria).

Cell lengths 5.5320, 5.5320, 10.2475 Å; angles 90.00, 90.00, 120.00 degrees
Space group P-31c (No. 163)
Inequivalent atoms, fractional coordinates:
Sc (0.3333, 0.6667, 0.2500) [2 per cell]
Cu (0.3333, 0.6667, 0.7500) [2 per cell]
Hg (0.0000, 0.0000, 0.0000) [2 per cell]
F (0.0143, 0.3663, 0.1407) [12 per cell]

Properties
Its uncorrected formation energy is -2.417 eV/atom. The total energy comes out at -43.71 eV/f.u. For the spin magnetization, the calculation gives 0.017 μB/atom.

Entry 3:
# Mg4ZnSe2

An optimized crystal structure of Mg4ZnSe2 (PBE, Alexandria).

Cell lengths 7.859, 7.859, 7.646 Å; angles 90.00, 90.00, 90.00 degrees
Space group I4/mmm (No. 139)
Inequivalent atoms, fractional coordinates:
Mg (0.000, 0.275, 0.000) [8 per cell]
Zn (0.000, 0.000, 0.500) [2 per cell]
Se (0.000, 0.500, 0.250) [4 per cell]

Properties
Its uncorrected formation energy is -0.165 eV/atom. The total energy comes out at -15.78 eV/f.u. The value obtained for the polymorph energy (0 for the lowest one) is 0.326 eV per atom. For the spin magnetization, the calculation gives 0.000 μB/atom.

Entry 4:
# CsCdRuF6

An optimized crystal structure of CsCdRuF6 (PBE, Alexandria).

Cell lengths 7.759, 7.867, 11.018 Å; angles 90.00, 90.00, 90.00 degrees
Space group Imma (No. 74)
Inequivalent atoms, fractional coordinates:
Cs (0.000, 0.250, 0.119) [4 per cell]
Cd (0.000, 0.000, 0.500) [4 per cell]
Ru (0.250, 0.250, 0.750) [4 per cell]
F (0.000, 0.250, 0.408) [4 per cell]
F (0.000, 0.250, 0.805) [4 per cell]
F (0.225, 0.065, 0.625) [16 per cell]

Properties
Its uncorrected formation energy is -2.091 eV/atom. The total energy comes out at -41.09 eV/f.u. For the spin magnetization, the calculation gives 0.111 μB/atom.